1.
Density functional theory data (PBE) for an optimized crystal structure of Rb3Na8.

Cell: 4.3797 6.3090 40.1688 Å, 90.00 90.00 90.00°
Last column: nearest neighbours and their distance in Å.
Space group Immm (No. 71)
Inequivalent atoms, fractional coordinates:
Rb: 0.0000 0.0000 0.0000 x2  12 Na 4.29-4.37, 2 Rb 4.38
Rb: 0.0000 0.5000 0.1424 x4  12 Na 4.25-4.49, 2 Rb 4.38
Na: 0.0000 0.0000 0.2599 x4  8 Na 3.64-3.92
Na: 0.0000 0.0000 0.4523 x4  3 Na 3.66-3.83
Na: 0.0000 0.5000 0.3125 x4  5 Na 3.64-3.80
Na: 0.0000 0.5000 0.4059 x4  3 Na 3.66-3.75

Properties
The value obtained for the formation energy is 0.5 eV/f.u. The total energy comes out at -25.91 eV/cell. The calculation puts the calculated volume at 1109.9 Å³/cell. Its size of the total moment is 0.00 μB/f.u.

2.
Density functional theory data (PBE) for an optimized crystal structure of CaMg2.

Cell: 3.5330 3.5330 8.1763 Å, 90.00 90.00 120.00°
Last column: nearest neighbours and their distance in Å.
Space group P-3m1 (No. 164)
Inequivalent atoms, fractional coordinates:
Ca: 0.0000 0.0000 0.0000 x1  6 Mg 3.49, 6 Ca 3.53
Mg: 0.3333 0.6667 0.6542 x2  9 Mg 3.24-3.53, 3 Ca 3.49

Properties
The value obtained for the formation energy is 0.2 eV/f.u. The total energy comes out at -4.95 eV/cell. The calculation puts the calculated volume at 88.4 Å³/cell. Its size of the total moment is 0.00 μB/f.u.

Repeat the first record exactly.
Density functional theory data (PBE) for an optimized crystal structure of Rb3Na8.

Cell: 4.3797 6.3090 40.1688 Å, 90.00 90.00 90.00°
Last column: nearest neighbours and their distance in Å.
Space group Immm (No. 71)
Inequivalent atoms, fractional coordinates:
Rb: 0.0000 0.0000 0.0000 x2  12 Na 4.29-4.37, 2 Rb 4.38
Rb: 0.0000 0.5000 0.1424 x4  12 Na 4.25-4.49, 2 Rb 4.38
Na: 0.0000 0.0000 0.2599 x4  8 Na 3.64-3.92
Na: 0.0000 0.0000 0.4523 x4  3 Na 3.66-3.83
Na: 0.0000 0.5000 0.3125 x4  5 Na 3.64-3.80
Na: 0.0000 0.5000 0.4059 x4  3 Na 3.66-3.75

Properties
The value obtained for the formation energy is 0.5 eV/f.u. The total energy comes out at -25.91 eV/cell. The calculation puts the calculated volume at 1109.9 Å³/cell. Its size of the total moment is 0.00 μB/f.u.

Q: Which value of total energy does entry 1 give?
A: -25.91 eV/cell

Q: What is the calculated volume in the second record?
A: 88.4 Å³/cell

Q: Which value of calculated volume does entry 2 give?
A: 88.4 Å³/cell